{"formula": "Cs2CrPdS4", "functional": "GGA-PBE", "state": "optimized geometry", "magnetic_moment_mub_per_atom": 0.000, "e_form_raw_kj_per_mol_atoms": -82.8, "spacegroup": "No. 70", "lattice_angstrom": [[0.0000, 7.1696, 12.1523], [2.7513, 0.0000, 12.1523], [2.7513, 7.1696, 0.0000]], "species": ["Cs", "Cs", "Cs", "Cs", "Cr", "Cr", "Pd", "Pd", "S", "S", "S", "S", "S", "S", "S", "S"], "frac_coords": [[0.0511, 0.0511, 0.6989], [0.3011, 0.3011, 0.9489], [0.6989, 0.6989, 0.0511], [0.9489, 0.9489, 0.3011], [0.3750, 0.3750, 0.3750], [0.6250, 0.6250, 0.6250], [0.1250, 0.1250, 0.1250], [0.8750, 0.8750, 0.8750], [0.0208, 0.6255, 0.5506], [0.3031, 0.5506, 0.6255], [0.3745, 0.9792, 0.6969], [0.4494, 0.6969, 0.9792], [0.5506, 0.3031, 0.0208], [0.6255, 0.0208, 0.3031], [0.6969, 0.4494, 0.3745], [0.9792, 0.3745, 0.4494]]}